First-principles (SCAN) data for MgMnIr2 at its PBEsol-relaxed geometry, as listed in the Alexandria database.

Structure (CIF):
```
data_MgMnIr2
_cell_length_a 2.6641
_cell_length_b 4.1761
_cell_length_c 5.1803
_cell_angle_alpha 90.00
_cell_angle_beta 104.90
_cell_angle_gamma 90.00
_symmetry_space_group_name_H-M 'P 1'
_symmetry_Int_Tables_number 1
loop_
_symmetry_equiv_pos_as_xyz
'x,y,z'
loop_
_atom_site_label
_atom_site_type_symbol
_atom_site_fract_x
_atom_site_fract_y
_atom_site_fract_z
Mn1 Mn 0.6746 0.5000 0.3491
Mg1 Mg 0.8214 0.0000 0.6428
Ir1 Ir 0.4300 0.5000 0.8600
Ir2 Ir 0.0808 0.0000 0.1615
```

Computed properties:
**ΔE_f**: -0.216 eV per atom
**Space group**: Amm2, No. 38
**Electronic total energy**: -41.573 eV per atom